[1]
The following is a DFT calculation (PBE-GGA) of crystalline BaLiCa2Pd at its relaxed geometry.

```
BaLiCa2Pd
1.0
5.646 0.000 0.000
0.000 5.646 0.000
0.000 0.000 5.473
Ba Ca Li Pd
1 2 1 1
direct
0.500 0.500 0.500
0.500 0.000 0.000
0.000 0.500 0.000
0.000 0.000 0.500
0.000 0.000 0.000
```

## Properties
The value obtained for the density of states at the Fermi level is 4.5 states/eV per cell. Its energy of formation from the pure elements is -201 meV/atom.


[2]
The following is a DFT calculation (PBE-GGA) of crystalline Cu2RhAu at its relaxed geometry.

```
Cu2RhAu
1.0
4.513 -0.031 0.000
0.977 4.406 0.000
-2.745 -2.188 2.837
Cu Au Rh
2 1 1
direct
0.000 0.000 0.000
0.500 0.500 0.000
0.750 0.250 0.500
0.250 0.750 0.500
```

## Properties
The value obtained for the density of states at the Fermi level is 4.1 states/eV per cell. Its energy of formation from the pure elements is 46 meV/atom.


[3]
The following is a DFT calculation (PBE-GGA) of crystalline SrScTl2F at its relaxed geometry.

```
SrScTl2F
1.0
-0.284 1.306 -5.889
4.819 -3.497 -1.008
-2.400 -3.141 -0.580
F Tl Sr Sc
1 2 1 1
direct
0.000 0.000 0.500
0.500 0.000 0.000
0.000 0.500 0.000
0.500 0.500 0.500
0.000 0.000 0.000
```

## Properties
The value obtained for the density of states at the Fermi level is 4.5 states/eV per cell. The calculation puts the uncorrected formation energy at -512.1 kJ/mol of formula units.


[4]
The following is a DFT calculation (PBE-GGA) of crystalline Tm2PuSn at its relaxed geometry.

```
Tm2PuSn
1.0
5.315 0.000 0.000
2.658 4.603 0.000
2.658 1.534 4.340
Sn Tm Pu
1 2 1
direct
0.000 0.000 0.000
0.750 0.750 0.750
0.250 0.250 0.250
0.500 0.500 0.500
```

## Properties
The value obtained for the density of states at the Fermi level is 12.5 states/eV per cell. Its energy of formation from the pure elements is -145 meV/atom.


[5]
The following is a DFT calculation (PBE-GGA) of crystalline Y2PuSc3S6 at its relaxed geometry.

```
Y2PuSc3S6
1.0
3.793 0.000 0.000
0.000 7.648 0.261
-1.897 -2.219 8.013
Sc S Pu Y
3 6 1 2
direct
0.165 0.838 0.331
0.500 0.500 0.000
0.835 0.162 0.669
0.996 0.261 0.992
0.664 0.594 0.328
0.336 0.406 0.672
0.328 0.924 0.656
0.004 0.739 0.008
0.672 0.076 0.344
0.500 0.000 0.000
0.836 0.670 0.671
0.164 0.330 0.329
```

## Properties
The value obtained for the density of states at the Fermi level is 7.9 states/eV per cell. The calculation puts the uncorrected formation energy at -2205.9 kJ/mol of formula units.


[6]
The following is a DFT calculation (PBE-GGA) of crystalline Pm3Ge2Pd5 at its relaxed geometry.

```
Pm3Ge2Pd5
1.0
-1.315 5.494 1.746
-0.202 0.286 8.960
7.571 4.733 0.823
Ge Pm Pd
4 6 10
direct
0.361 0.983 0.296
0.139 0.704 0.017
0.639 0.017 0.704
0.861 0.296 0.983
0.889 0.817 0.406
0.111 0.183 0.594
0.750 0.000 0.000
0.389 0.406 0.817
0.250 0.000 0.000
0.611 0.594 0.183
0.137 0.508 0.219
0.637 0.219 0.508
0.990 0.760 0.760
0.750 0.500 0.500
0.010 0.240 0.240
0.363 0.781 0.492
0.863 0.492 0.781
0.510 0.240 0.240
0.250 0.500 0.500
0.490 0.760 0.760
```

## Properties
The value obtained for the density of states at the Fermi level is 14.4 states/eV per cell. Its energy of formation from the pure elements is -602 meV/atom.


[7]
The following is a DFT calculation (PBE-GGA) of crystalline Cd4Pd7Au at its relaxed geometry.

```
Cd4Pd7Au
1.0
5.012 0.000 0.000
2.506 8.735 -0.387
2.506 0.133 5.135
Cd Pd Au
4 7 1
direct
0.401 0.772 0.426
0.271 0.311 0.147
0.729 0.689 0.853
0.599 0.228 0.574
0.500 0.000 0.000
0.346 0.533 0.775
0.206 0.082 0.507
0.035 0.620 0.309
0.965 0.380 0.691
0.654 0.467 0.225
0.794 0.918 0.493
0.000 0.000 0.000
```

## Properties
The value obtained for the density of states at the Fermi level is 6.1 states/eV per cell. Its energy of formation from the pure elements is -80 meV/atom.


[8]
The following is a DFT calculation (PBE-GGA) of crystalline Ce2Tm3N4 at its relaxed geometry.

```
Ce2Tm3N4
1.0
3.318 0.000 0.816
1.460 5.654 1.215
-0.195 0.528 7.944
N Ce Tm
4 2 3
direct
0.396 0.303 0.905
0.193 0.898 0.715
0.807 0.102 0.285
0.604 0.697 0.095
0.603 0.186 0.609
0.397 0.814 0.391
0.000 0.000 0.000
0.210 0.399 0.182
0.790 0.601 0.818
```

## Properties
The value obtained for the density of states at the Fermi level is 8.2 states/eV per cell. The calculation puts the uncorrected formation energy at -1257.6 kJ/mol of formula units.


[9]
The following is a DFT calculation (PBE-GGA) of crystalline Te2AsSeN at its relaxed geometry.

```
Te2AsSeN
1.0
5.609 0.000 0.000
0.000 5.609 0.000
0.000 0.000 3.649
As Se N Te
1 1 1 2
direct
0.000 0.000 0.000
0.500 0.500 0.500
0.000 0.000 0.500
0.500 0.000 0.000
0.000 0.500 0.000
```

## Properties
The value obtained for the density of states at the Fermi level is 5.3 states/eV per cell. The calculation puts the uncorrected formation energy at 429.3 kJ/mol of formula units.


[10]
The following is a DFT calculation (PBE-GGA) of crystalline ReBN2F at its relaxed geometry.

```
ReBN2F
1.0
-0.690 -2.403 2.951
3.188 -2.003 -0.886
2.217 2.426 2.493
F N Re B
1 2 1 1
direct
0.000 0.000 0.500
0.500 0.000 0.000
0.000 0.500 0.000
0.000 0.000 0.000
0.500 0.500 0.500
```

## Properties
The value obtained for the density of states at the Fermi level is 3.1 states/eV per cell. The calculation puts the uncorrected formation energy at 416.3 kJ/mol of formula units.


[11]
The following is a DFT calculation (PBE-GGA) of crystalline CaAc2Cu at its relaxed geometry.

```
CaAc2Cu
1.0
3.869 0.000 0.000
0.000 3.869 0.000
0.000 0.000 9.613
Cu Ca Ac
1 1 2
direct
0.500 0.500 0.000
0.500 0.500 0.500
0.000 0.000 0.814
0.000 0.000 0.186
```

## Properties
The value obtained for the density of states at the Fermi level is 5.3 states/eV per cell. Its energy of formation from the pure elements is -8 meV/atom.


[12]
The following is a DFT calculation (PBE-GGA) of crystalline BaYW2 at its relaxed geometry.

```
BaYW2
1.0
-3.730 2.438 -3.407
-5.458 -0.012 -1.295
-3.017 4.945 3.269
Ba W Y
1 2 1
direct
0.250 0.250 0.250
0.000 0.000 0.876
0.500 0.500 0.624
0.750 0.750 0.750
```

## Properties
The value obtained for the density of states at the Fermi level is 4.1 states/eV per cell. Its energy of formation from the pure elements is 928 meV/atom.


[13]
The following is a DFT calculation (PBE-GGA) of crystalline La2Os at its relaxed geometry.

```
La2Os
1.0
-5.339 11.081 8.359
-8.454 7.469 9.691
8.429 -9.920 -7.191
La Os
4 2
direct
0.190 0.690 0.500
0.310 0.810 0.500
0.440 0.440 0.000
0.560 0.560 0.000
0.750 0.250 0.500
0.000 0.000 0.000
```

## Properties
The value obtained for the density of states at the Fermi level is 4.4 states/eV per cell. Its energy of formation from the pure elements is -39 meV/atom.


[14]
The following is a DFT calculation (PBE-GGA) of crystalline TbBe2Cu9 at its relaxed geometry.

```
TbBe2Cu9
1.0
-5.515 2.958 -0.873
-4.818 -0.483 5.931
-0.048 7.322 2.241
Cu Be Tb
18 4 2
direct
0.307 0.675 0.080
0.613 0.325 0.080
0.688 0.580 0.175
0.137 0.175 0.420
0.018 0.675 0.920
0.732 0.825 0.580
0.613 0.080 0.325
0.688 0.175 0.580
0.018 0.920 0.675
0.000 0.000 0.000
0.750 0.500 0.500
0.732 0.580 0.825
0.443 0.420 0.825
0.307 0.080 0.675
0.062 0.325 0.920
0.443 0.825 0.420
0.062 0.920 0.325
0.137 0.420 0.175
0.875 0.250 0.250
0.875 0.750 0.250
0.875 0.250 0.750
0.375 0.750 0.750
0.500 0.000 0.000
0.250 0.500 0.500
```

## Properties
The value obtained for the density of states at the Fermi level is 9.1 states/eV per cell. Its energy of formation from the pure elements is -120 meV/atom.


[15]
The following is a DFT calculation (PBE-GGA) of crystalline Ce2BiS5 at its relaxed geometry.

```
Ce2BiS5
1.0
-0.394 3.800 1.278
-6.423 -1.965 3.863
6.558 -2.552 9.606
S Ce Bi
10 4 2
direct
0.000 0.317 0.297
0.500 0.674 0.392
0.000 0.183 0.797
0.000 0.683 0.703
0.000 0.500 0.000
0.500 0.326 0.608
0.000 0.000 0.500
0.000 0.817 0.203
0.500 0.174 0.108
0.500 0.826 0.892
0.500 0.027 0.325
0.500 0.973 0.675
0.500 0.527 0.175
0.500 0.473 0.825
0.000 0.000 0.000
0.000 0.500 0.500
```

## Properties
The value obtained for the density of states at the Fermi level is 17.8 states/eV per cell. The calculation puts the uncorrected formation energy at -1069.7 kJ/mol of formula units.


[16]
The following is a DFT calculation (PBE-GGA) of crystalline AcCeMgHg at its relaxed geometry.

```
AcCeMgHg
1.0
-4.005 2.129 -3.305
-0.849 -2.143 -5.116
-4.638 -2.976 -1.061
Ac Mg Ce Hg
1 1 1 1
direct
0.750 0.750 0.750
0.000 0.000 0.000
0.250 0.250 0.250
0.500 0.500 0.500
```

## Properties
The value obtained for the density of states at the Fermi level is 12.0 states/eV per cell. Its energy of formation from the pure elements is -129 meV/atom.


[17]
The following is a DFT calculation (PBE-GGA) of crystalline TaWI2 at its relaxed geometry.

```
TaWI2
1.0
4.617 0.000 0.000
0.000 4.617 0.000
2.309 2.309 8.825
W I Ta
2 4 2
direct
0.750 0.250 0.500
0.000 0.000 0.000
0.121 0.625 0.250
0.375 0.371 0.750
0.629 0.125 0.250
0.875 0.879 0.750
0.500 0.500 0.000
0.250 0.750 0.500
```

## Properties
The value obtained for the density of states at the Fermi level is 8.6 states/eV per cell. The calculation puts the uncorrected formation energy at 492.2 kJ/mol of formula units.


[18]
The following is a DFT calculation (PBE-GGA) of crystalline Mo2WAu at its relaxed geometry.

```
Mo2WAu
1.0
-3.000 -1.056 -1.022
1.347 -2.903 -0.955
-1.033 -2.237 5.343
Mo W Au
2 1 1
direct
0.500 0.500 0.249
0.000 0.000 0.017
0.000 0.000 0.484
0.500 0.500 0.750
```

## Properties
The value obtained for the density of states at the Fermi level is 3.8 states/eV per cell. Its energy of formation from the pure elements is 291 meV/atom.


[19]
The following is a DFT calculation (PBE-GGA) of crystalline Sc2TlTe at its relaxed geometry.

```
Sc2TlTe
1.0
-2.225 4.570 -1.252
-4.213 -3.092 -0.306
-1.399 0.769 3.289
Tl Te Sc
1 1 2
direct
0.000 0.500 0.500
0.500 0.000 0.500
0.500 0.500 0.000
0.000 0.000 0.000
```

## Properties
The value obtained for the density of states at the Fermi level is 3.7 states/eV per cell. The calculation puts the uncorrected formation energy at -192.2 kJ/mol of formula units.


[20]
The following is a DFT calculation (PBE-GGA) of crystalline ZrInAs2Se at its relaxed geometry.

```
ZrInAs2Se
1.0
5.260 0.000 0.000
0.000 5.260 0.000
0.000 0.000 5.229
Zr As In Se
1 2 1 1
direct
0.000 0.000 0.000
0.000 0.500 0.000
0.500 0.000 0.000
0.500 0.500 0.500
0.000 0.000 0.500
```

## Properties
The value obtained for the density of states at the Fermi level is 4.5 states/eV per cell. The calculation puts the uncorrected formation energy at -58.0 kJ/mol of formula units.


[21]
The following is a DFT calculation (PBE-GGA) of crystalline Mn2TcGeH at its relaxed geometry.

```
Mn2TcGeH
1.0
-1.936 -2.122 2.415
2.822 -2.472 0.091
1.618 1.957 3.016
H Mn Ge Tc
1 2 1 1
direct
0.000 0.000 0.000
0.000 0.500 0.000
0.500 0.000 0.000
0.500 0.500 0.500
0.000 0.000 0.500
```

## Properties
The value obtained for the density of states at the Fermi level is 2.6 states/eV per cell.


[22]
The following is a DFT calculation (PBE-GGA) of crystalline Ba2Tl6HgPd at its relaxed geometry.

```
Ba2Tl6HgPd
1.0
-5.412 4.176 -3.225
-1.400 -0.686 -7.396
-11.112 -8.324 -0.988
Tl Pd Ba Hg
12 2 4 2
direct
0.662 0.083 0.592
0.347 0.780 0.094
0.780 0.780 0.094
0.220 0.220 0.906
0.917 0.338 0.408
0.083 0.662 0.592
0.338 0.917 0.408
0.338 0.338 0.408
0.780 0.347 0.094
0.662 0.662 0.592
0.653 0.220 0.906
0.220 0.653 0.906
0.500 0.500 0.500
0.000 0.000 0.000
0.719 0.719 0.844
0.895 0.895 0.315
0.281 0.281 0.156
0.105 0.105 0.685
0.574 0.574 0.279
0.426 0.426 0.721
```

## Properties
The value obtained for the density of states at the Fermi level is 9.1 states/eV per cell. Its energy of formation from the pure elements is -213 meV/atom.


[23]
The following is a DFT calculation (PBE-GGA) of crystalline LiBiSbTe2 at its relaxed geometry.

```
LiBiSbTe2
1.0
5.284 0.000 0.000
0.000 5.284 0.000
0.000 0.000 4.898
Li Bi Sb Te
1 1 1 2
direct
0.000 0.000 0.000
0.500 0.500 0.500
0.000 0.000 0.500
0.000 0.500 0.000
0.500 0.000 0.000
```

## Properties
The value obtained for the density of states at the Fermi level is 3.8 states/eV per cell. The calculation puts the uncorrected formation energy at 93.5 kJ/mol of formula units.


[24]
The following is a DFT calculation (PBE-GGA) of crystalline ZrPRu2 at its relaxed geometry.

```
ZrPRu2
1.0
0.000 3.147 3.147
3.147 0.000 3.147
3.147 3.147 0.000
Zr Ru P
1 2 1
direct
0.250 0.250 0.250
0.000 0.000 0.000
0.750 0.750 0.750
0.500 0.500 0.500
```

## Properties
The value obtained for the density of states at the Fermi level is 6.3 states/eV per cell. Its energy of formation from the pure elements is -34 meV/atom.


Listing E_tot for the structures above in their given order: -2.81, -4.66, -3.98, -6.96, -7.82, -5.55, -3.69, -7.96, -3.66, -6.67, -3.59, -7.65, -7.07, -4.20, -5.93, -3.11, -5.70, -9.18, -5.04, -4.93, -7.40, -2.57, -3.05, -8.16 eV/atom.